A geometry-optimized TbHoInHg structure. Source: Alexandria via LeMat-Bulk, functional PBE.

Output
- final energy (eV/cell) = -14.1
- symmetry = F-43m (216)
- energy of formation from the pure elements (eV/atom) = -0.462
- DOS(E_F) (states/eV per cell) = 4.5

Cell: 5.3014 5.3014 5.3014 Å, 60.00 60.00 60.00°
Last column: nearest neighbours and their distance in Å.
Fractional positions:
Ho 0.5000 0.5000 0.5000  4 Hg 3.25, 4 In 3.25
Hg 0.7500 0.7500 0.7500  4 Ho 3.25, 4 Tb 3.25
In 0.2500 0.2500 0.2500  4 Tb 3.25, 4 Ho 3.25
Tb 0.0000 0.0000 0.0000  4 In 3.25, 4 Hg 3.25